# Pa2CuPt3 | the Alexandria database | PBE | optimized geometry
# **Volume**: 115 Å³/f.u.
# **E_form**: -0.778 eV/atom
data_Pa2CuPt3
_chemical_formula_sum 'Pa16 Cu8 Pt24'
_symmetry_space_group_name_H-M 'F m m m'
_symmetry_Int_Tables_number 69
_symmetry_space_group_name_Hall '-F 2 2'
_cell_length_a 6.434
_cell_length_b 9.051
_cell_length_c 15.833
_cell_angle_alpha 90.00
_cell_angle_beta 90.00
_cell_angle_gamma 90.00
loop_
_atom_site_label
_atom_site_fract_x
_atom_site_fract_y
_atom_site_fract_z
Pa1 0.237 0.000 0.000
Pa2 0.250 0.250 0.250
Cu1 0.000 0.000 0.331
Pt1 0.000 0.000 0.172
Pt2 0.000 0.236 0.414